DFT (PBE) results for an optimized crystal structure of UP4S12.

The space group is I4_1/a (No. 88, origin choice 2) and the conventional cell measures 13.424, 13.424 and 9.833 Å, with angles of 90.00, 90.00 and 90.00 degrees. Symmetry generates all atoms from U at (0.000, 0.250, 0.125), P at (0.005, 0.067, 0.381), S at (0.061, 0.420, 0.578), S at (0.084, 0.364, 0.905) and S at (0.092, 0.425, 0.226).

As for the crystal system: tetragonal. As for the magnetic moment: 0.118 μB/atom. Its energy relative to the elements, uncorrected is -6.95 eV/f.u.

***

DFT (PBE) results for an optimized crystal structure of UPS.

The space group is P4/nmm (No. 129, origin choice 2) and the conventional cell measures 3.765, 3.765 and 7.937 Å, with angles of 90.00, 90.00 and 90.00 degrees. Symmetry generates all atoms from U at (0.250, 0.250, 0.223), P at (0.250, 0.750, 0.500) and S at (0.250, 0.250, 0.863).

As for the crystal system: tetragonal. As for the magnetic moment: 0.706 μB/atom. Its energy relative to the elements, uncorrected is -3.49 eV/f.u.

***

DFT (PBE) results for an optimized crystal structure of U3P2S2.

The space group is P2_1/c (No. 14) and the conventional cell measures 6.190, 6.829 and 7.233 Å, with angles of 90.00, 101.52 and 90.00 degrees. Symmetry generates all atoms from U at (0.000, 0.000, 0.000), U at (0.338, 0.045, 0.697), P at (0.387, 0.723, 0.487) and S at (0.094, 0.156, 0.344).

As for the crystal system: monoclinic. As for the magnetic moment: 1.015 μB/atom. Its energy relative to the elements, uncorrected is -6.78 eV/f.u.

***

DFT (PBE) results for an optimized crystal structure of UPS6.

The space group is C2/m (No. 12) and the conventional cell measures 5.805, 11.204 and 6.033 Å, with angles of 90.00, 105.34 and 90.00 degrees. Symmetry generates all atoms from U at (0.000, 0.000, 0.000), P at (0.000, 0.500, 0.500), S at (0.199, 0.357, 0.732) and S at (0.243, 0.000, 0.719).

As for the crystal system: monoclinic. As for the magnetic moment: 0.000 μB/atom. Its energy relative to the elements, uncorrected is -1.48 eV/f.u.

***

- The lowest energy relative to the elements, uncorrected belongs to which entry?
  UP4S12

***

- Among the records above, which one has the highest magnetic moment?
  U3P2S2